1.
Here is an optimized crystal structure of SrTc2As from Alexandria. Energies are from GGA-PBE.

Unit cell a=6.2193 b=6.2193 c=6.2193 alpha=39.87 beta=39.87 gamma=39.87
Fractional coordinates of all 4 atoms:
Sr: 0.0000 0.0000 0.0000
Tc: 0.4967 0.4967 0.4967
Tc: 0.8012 0.8012 0.8012
As: 0.2081 0.2081 0.2081

Properties
ΔE_f   -183.1 meV/atom

2.
Here is an optimized crystal structure of Pu4Ga3Cu from Alexandria. Energies are from GGA-PBE.

Unit cell a=3.0359 b=5.3967 c=10.7924 alpha=90.00 beta=90.00 gamma=90.00
Fractional coordinates of all 8 atoms:
Pu: 0.0000 0.0000 0.0000
Pu: 0.0000 0.0000 0.5000
Pu: 0.0000 0.5000 0.2418
Pu: 0.0000 0.5000 0.7582
Ga: 0.5000 0.0000 0.2510
Ga: 0.5000 0.0000 0.7490
Ga: 0.5000 0.5000 0.5000
Cu: 0.5000 0.5000 0.0000

Properties
ΔE_f   -159.8 meV/atom

3.
Here is an optimized crystal structure of Pr8Te4PtSe3 from Alexandria. Energies are from GGA-PBE.

Unit cell a=8.8955 b=8.8955 c=8.8955 alpha=59.00 beta=59.00 gamma=59.00
Fractional coordinates of all 16 atoms:
Pr: 0.2414 0.2414 0.2414
Pr: 0.2511 0.7357 0.7357
Pr: 0.2643 0.2643 0.7489
Pr: 0.2643 0.7489 0.2643
Pr: 0.7357 0.2511 0.7357
Pr: 0.7357 0.7357 0.2511
Pr: 0.7489 0.2643 0.2643
Pr: 0.7586 0.7586 0.7586
Te: 0.0000 0.0000 0.0000
Te: 0.0000 0.5000 0.5000
Te: 0.5000 0.0000 0.5000
Te: 0.5000 0.5000 0.0000
Pt: 0.5000 0.5000 0.5000
Se: 0.0000 0.0000 0.5000
Se: 0.0000 0.5000 0.0000
Se: 0.5000 0.0000 0.0000

Properties
Formation energy from raw total energies   -1570.8 meV/atom

4.
Here is an optimized crystal structure of Al2NiGe2 from Alexandria. Energies are from GGA-PBE.

Unit cell a=6.2250 b=6.2250 c=4.2668 alpha=90.00 beta=90.00 gamma=90.00
Fractional coordinates of all 10 atoms:
Al: 0.1678 0.3322 0.0000
Al: 0.3322 0.8322 0.0000
Al: 0.6678 0.1678 0.0000
Al: 0.8322 0.6678 0.0000
Ni: 0.0000 0.0000 0.5000
Ni: 0.5000 0.5000 0.5000
Ge: 0.1477 0.6477 0.5000
Ge: 0.3523 0.1477 0.5000
Ge: 0.6477 0.8523 0.5000
Ge: 0.8523 0.3523 0.5000

Properties
ΔE_f   69.1 meV/atom

5.
Here is an optimized crystal structure of AcAg3As3 from Alexandria. Energies are from GGA-PBE.

Unit cell a=7.1421 b=7.1421 c=7.1421 alpha=90.00 beta=90.00 gamma=90.00
Fractional coordinates of all 14 atoms:
Ac: 0.0000 0.0000 0.0000
Ac: 0.5000 0.5000 0.5000
Ag: 0.0000 0.2500 0.5000
Ag: 0.0000 0.7500 0.5000
Ag: 0.2500 0.5000 0.0000
Ag: 0.5000 0.0000 0.2500
Ag: 0.5000 0.0000 0.7500
Ag: 0.7500 0.5000 0.0000
As: 0.0000 0.5000 0.2500
As: 0.0000 0.5000 0.7500
As: 0.2500 0.0000 0.5000
As: 0.5000 0.2500 0.0000
As: 0.5000 0.7500 0.0000
As: 0.7500 0.0000 0.5000

Properties
ΔE_f   -33.0 meV/atom

6.
Here is an optimized crystal structure of RbCoPC2 from Alexandria. Energies are from GGA-PBE.

Unit cell a=4.3533 b=4.3533 c=5.2122 alpha=90.00 beta=90.00 gamma=90.00
Fractional coordinates of all 5 atoms:
Rb: 0.0000 0.0000 0.0000
Co: 0.5000 0.5000 0.5000
P: 0.0000 0.0000 0.5000
C: 0.0000 0.5000 0.0000
C: 0.5000 0.0000 0.0000

Properties
ΔE_f   4084.5 meV/atom

In order of appearance, E_tot = -6.949, -8.973, -5.777, -4.431, -3.835, -2.302 eV per atom.
In order of appearance, total magnetic moment = 0.000, 0.097, 0.000, 0.000, 0.000, 0.030 μB per cell.